# Ba2P2Br | the Alexandria database | PBE | relaxed
# Crystal system   tetragonal
# N(E_F)   3.53 states/eV per cell
# Space-group type   No. 139
data_Ba2P2Br
_chemical_formula_sum 'Ba2 P2 Br1'
_cell_length_a 5.9648
_cell_length_b 5.9648
_cell_length_c 6.3357
_cell_angle_alpha 61.92
_cell_angle_beta 61.92
_cell_angle_gamma 90.00
_space_group_name_H-M_alt 'P 1'
_space_group_IT_number 1
_space_group_name_Hall 'P 1'
loop_
_atom_site_label
_atom_site_type_symbol
_atom_site_fract_x
_atom_site_fract_y
_atom_site_fract_z
_atom_site_occupancy
P1 P 0.3871 0.3871 0.2258 1
P2 P 0.6129 0.6129 0.7742 1
Ba1 Ba 0.7500 0.2500 0.5000 1
Ba2 Ba 0.2500 0.7500 0.5000 1
Br1 Br 0.0000 0.0000 0.0000 1

# Ba8P3Br4 | the Alexandria database | PBE | relaxed
# Crystal system   trigonal
# N(E_F)   9.32 states/eV per cell
# Space-group type   No. 166
data_Ba8P3Br4
_chemical_formula_sum 'Ba8 P3 Br4'
_cell_length_a 9.3942
_cell_length_b 9.3942
_cell_length_c 10.0712
_cell_angle_alpha 62.20
_cell_angle_beta 62.20
_cell_angle_gamma 60.00
_space_group_name_H-M_alt 'P 1'
_space_group_IT_number 1
_space_group_name_Hall 'P 1'
loop_
_atom_site_label
_atom_site_type_symbol
_atom_site_fract_x
_atom_site_fract_y
_atom_site_fract_z
_atom_site_occupancy
Ba1 Ba 0.2322 0.2322 0.3035 1
Ba2 Ba 0.2185 0.7452 0.2912 1
Ba3 Ba 0.7452 0.7452 0.2912 1
Ba4 Ba 0.7452 0.2185 0.2912 1
Ba5 Ba 0.7678 0.7678 0.6965 1
Ba6 Ba 0.7815 0.2548 0.7088 1
Ba7 Ba 0.2548 0.2548 0.7088 1
Ba8 Ba 0.2548 0.7815 0.7088 1
P1 P 0.5000 0.0000 0.5000 1
P2 P 0.0000 0.0000 0.5000 1
P3 P 0.0000 0.5000 0.5000 1
Br1 Br 0.0000 0.0000 0.0000 1
Br2 Br 0.3586 0.3586 0.9241 1
Br3 Br 0.5000 0.5000 0.5000 1
Br4 Br 0.6414 0.6414 0.0759 1

# Ba2PBr | the Alexandria database | PBE | relaxed
# Crystal system   cubic
# N(E_F)   0.00 states/eV per cell
# Space-group type   No. 225
data_Ba2PBr
_chemical_formula_sum 'Ba2 P1 Br1'
_cell_length_a 5.6639
_cell_length_b 5.6639
_cell_length_c 5.6639
_cell_angle_alpha 60.00
_cell_angle_beta 60.00
_cell_angle_gamma 60.00
_space_group_name_H-M_alt 'P 1'
_space_group_IT_number 1
_space_group_name_Hall 'P 1'
loop_
_atom_site_label
_atom_site_type_symbol
_atom_site_fract_x
_atom_site_fract_y
_atom_site_fract_z
_atom_site_occupancy
P1 P 0.0000 0.0000 0.0000 1
Ba1 Ba 0.2500 0.2500 0.2500 1
Ba2 Ba 0.7500 0.7500 0.7500 1
Br1 Br 0.5000 0.5000 0.5000 1

# Ba2P2Br | the Alexandria database | PBE | relaxed
# Crystal system   monoclinic
# N(E_F)   2.47 states/eV per cell
# Space-group type   No. 12
data_Ba2P2Br
_chemical_formula_sum 'Ba2 P2 Br1'
_cell_length_a 4.9428
_cell_length_b 4.9428
_cell_length_c 8.4600
_cell_angle_alpha 81.20
_cell_angle_beta 81.20
_cell_angle_gamma 64.95
_space_group_name_H-M_alt 'P 1'
_space_group_IT_number 1
_space_group_name_Hall 'P 1'
loop_
_atom_site_label
_atom_site_type_symbol
_atom_site_fract_x
_atom_site_fract_y
_atom_site_fract_z
_atom_site_occupancy
Ba1 Ba 0.6895 0.6895 0.7336 1
Ba2 Ba 0.3105 0.3105 0.2664 1
P1 P 0.7979 0.2021 0.5000 1
P2 P 0.2021 0.7979 0.5000 1
Br1 Br 0.0000 0.0000 0.0000 1

# Ba8P5Br | the Alexandria database | PBE | relaxed
# Crystal system   tetragonal
# Space-group type   No. 82
data_Ba8P5Br
_chemical_formula_sum 'Ba8 P5 Br1'
_cell_length_a 8.5962
_cell_length_b 8.5962
_cell_length_c 8.5962
_cell_angle_alpha 109.30
_cell_angle_beta 109.30
_cell_angle_gamma 109.82
_space_group_name_H-M_alt 'P 1'
_space_group_IT_number 1
_space_group_name_Hall 'P 1'
loop_
_atom_site_label
_atom_site_type_symbol
_atom_site_fract_x
_atom_site_fract_y
_atom_site_fract_z
_atom_site_occupancy
Ba1 Ba 0.7364 0.3699 0.2455 1
Ba2 Ba 0.9857 0.7380 0.0954 1
Ba3 Ba 0.6427 0.8903 0.9046 1
Ba4 Ba 0.1244 0.4909 0.7545 1
Ba5 Ba 0.6301 0.8756 0.3665 1
Ba6 Ba 0.5091 0.2636 0.6335 1
Ba7 Ba 0.2620 0.3573 0.2477 1
Ba8 Ba 0.1097 0.0143 0.7523 1
P1 P 0.7436 0.6318 0.6252 1
P2 P 0.3682 0.9934 0.1118 1
P3 P 0.0066 0.1184 0.3748 1
P4 P 0.5000 0.5000 0.0000 1
P5 P 0.8816 0.2564 0.8882 1
Br1 Br 0.2500 0.7500 0.5000 1

# Ba4P2Br5 | the Alexandria database | PBE | relaxed
# Crystal system   monoclinic
# N(E_F)   3.50 states/eV per cell
# Space-group type   No. 12
data_Ba4P2Br5
_chemical_formula_sum 'Ba4 P2 Br5'
_cell_length_a 4.7798
_cell_length_b 8.8335
_cell_length_c 11.3582
_cell_angle_alpha 112.96
_cell_angle_beta 102.15
_cell_angle_gamma 90.00
_space_group_name_H-M_alt 'P 1'
_space_group_IT_number 1
_space_group_name_Hall 'P 1'
loop_
_atom_site_label
_atom_site_type_symbol
_atom_site_fract_x
_atom_site_fract_y
_atom_site_fract_z
_atom_site_occupancy
Ba1 Ba 0.7030 0.7025 0.4060 1
Ba2 Ba 0.0004 0.7290 0.0008 1
Ba3 Ba 0.2970 0.2975 0.5940 1
Ba4 Ba 0.9996 0.2710 0.9992 1
P1 P 0.5518 0.5514 0.1036 1
P2 P 0.4482 0.4486 0.8964 1
Br1 Br 0.1716 0.9251 0.3432 1
Br2 Br 0.8284 0.0749 0.6568 1
Br3 Br 0.1713 0.4166 0.3425 1
Br4 Br 0.5000 0.0000 0.0000 1
Br5 Br 0.8288 0.5834 0.6575 1

# BaPBr4 | the Alexandria database | PBE | relaxed
# Crystal system   cubic
# N(E_F)   3.34 states/eV per cell
# Space-group type   No. 216
data_BaPBr4
_chemical_formula_sum 'Ba1 P1 Br4'
_cell_length_a 6.5416
_cell_length_b 6.5416
_cell_length_c 6.5416
_cell_angle_alpha 60.00
_cell_angle_beta 60.00
_cell_angle_gamma 60.00
_space_group_name_H-M_alt 'P 1'
_space_group_IT_number 1
_space_group_name_Hall 'P 1'
loop_
_atom_site_label
_atom_site_type_symbol
_atom_site_fract_x
_atom_site_fract_y
_atom_site_fract_z
_atom_site_occupancy
Ba1 Ba 0.0000 0.0000 0.0000 1
P1 P 0.7500 0.7500 0.7500 1
Br1 Br 0.8756 0.3748 0.3748 1
Br2 Br 0.3748 0.3748 0.8756 1
Br3 Br 0.3748 0.8756 0.3748 1
Br4 Br 0.3748 0.3748 0.3748 1

# BaP4Br | the Alexandria database | PBE | relaxed
# Crystal system   cubic
# N(E_F)   5.27 states/eV per cell
# Space-group type   No. 216
data_BaP4Br
_chemical_formula_sum 'Ba1 P4 Br1'
_cell_length_a 5.9662
_cell_length_b 5.9662
_cell_length_c 5.9662
_cell_angle_alpha 60.00
_cell_angle_beta 60.00
_cell_angle_gamma 60.00
_space_group_name_H-M_alt 'P 1'
_space_group_IT_number 1
_space_group_name_Hall 'P 1'
loop_
_atom_site_label
_atom_site_type_symbol
_atom_site_fract_x
_atom_site_fract_y
_atom_site_fract_z
_atom_site_occupancy
Ba1 Ba 0.7500 0.7500 0.7500 1
P1 P 0.9658 0.3447 0.3447 1
P2 P 0.3447 0.3447 0.9658 1
P3 P 0.3447 0.9658 0.3447 1
P4 P 0.3447 0.3447 0.3447 1
Br1 Br 0.0000 0.0000 0.0000 1

| no. | E_form (uncorrected) (eV/atom) |
| --- | --- |
| 1 | -1.097 |
| 2 | -1.369 |
| 3 | -1.375 |
| 4 | -1.149 |
| 5 | -1.159 |
| 6 | -1.745 |
| 7 | -0.118 |
| 8 | -0.419 |